# 1
DFT (GGA-PBE) results for a relaxed structure of ZrCr2.

Cell lengths 6.7685, 6.5364, 2.7932 Å; angles 82.58, 73.26, 24.16 degrees
Sites, in units of the cell vectors:
Zr1 0.0000 0.0000 0.0000
Cr1 0.3151 0.3151 0.6849
Cr2 0.6849 0.6849 0.3151

**V**: 46 Å³/cell
**Energy relative to the elements**: 0.3239 eV/atom

***

# 2
DFT (GGA-PBE) results for a relaxed structure of ZrCr5.

Cell lengths 2.9489, 2.9489, 9.4523 Å; angles 90.00, 90.00, 90.00 degrees
Sites, in units of the cell vectors:
Cr1 0.0000 0.0000 0.2045
Cr2 0.0000 0.0000 0.7955
Cr3 0.5000 0.5000 0.3461
Cr4 0.0000 0.0000 0.5000
Cr5 0.5000 0.5000 0.6539
Zr1 0.5000 0.5000 0.0000

**V**: 82 Å³/cell
**E above lowest polymorph**: 0.000 eV/atom
**Energy relative to the elements**: 0.1173 eV/atom

***

# 3
DFT (GGA-PBE) results for a relaxed structure of Zr3Cr.

Cell lengths 6.4144, 8.9402, 5.7323 Å; angles 90.00, 90.00, 90.00 degrees
Sites, in units of the cell vectors:
Zr1 0.4665 0.7500 0.3615
Zr2 0.1868 0.4467 0.3471
Zr3 0.8132 0.9467 0.6529
Zr4 0.0335 0.2500 0.8615
Zr5 0.8132 0.5533 0.6529
Zr6 0.3132 0.9467 0.8471
Zr7 0.6868 0.0533 0.1529
Zr8 0.3132 0.5533 0.8471
Zr9 0.6868 0.4467 0.1529
Zr10 0.9665 0.7500 0.1385
Zr11 0.5335 0.2500 0.6385
Zr12 0.1868 0.0533 0.3471
Cr1 0.8898 0.2500 0.4150
Cr2 0.6102 0.7500 0.9150
Cr3 0.1102 0.7500 0.5850
Cr4 0.3898 0.2500 0.0850

**V**: 329 Å³/cell
**Energy relative to the elements**: 0.1556 eV/atom

***

# 4
DFT (GGA-PBE) results for a relaxed structure of ZrCr2.

Cell lengths 5.0306, 5.0306, 7.0355 Å; angles 67.50, 67.50, 34.04 degrees
Sites, in units of the cell vectors:
Cr1 0.3402 0.3402 0.0514
Cr2 0.0014 0.0014 0.1917
Cr3 0.9986 0.9986 0.8083
Cr4 0.6598 0.6598 0.9486
Zr1 0.6599 0.6599 0.3992
Zr2 0.3401 0.3401 0.6008

**V**: 91 Å³/cell
**Energy relative to the elements**: 0.2307 eV/atom

***

# 5
DFT (GGA-PBE) results for a relaxed structure of ZrCr5.

Cell lengths 6.4433, 6.4433, 4.2653 Å; angles 90.00, 90.00, 153.31 degrees
Sites, in units of the cell vectors:
Zr1 0.5000 0.5000 0.5000
Cr1 0.8207 0.1793 0.5000
Cr2 0.1793 0.8207 0.5000
Cr3 0.0000 0.0000 0.0000
Cr4 0.6712 0.3288 0.0000
Cr5 0.3288 0.6712 0.0000

**V**: 80 Å³/cell
**E above lowest polymorph**: 0.075 eV/atom
**Energy relative to the elements**: 0.1919 eV/atom

***

# 6
DFT (GGA-PBE) results for a relaxed structure of ZrCr2.

Cell lengths 6.9320, 6.9320, 4.4851 Å; angles 90.00, 90.00, 154.65 degrees
Sites, in units of the cell vectors:
Zr1 0.4168 0.5832 0.7500
Zr2 0.5832 0.4168 0.2500
Cr1 0.1204 0.8796 0.7500
Cr2 0.8796 0.1204 0.2500
Cr3 0.2551 0.7449 0.2500
Cr4 0.7449 0.2551 0.7500

**V**: 92 Å³/cell
**Energy relative to the elements**: 0.1850 eV/atom

***

# 7
DFT (GGA-PBE) results for a relaxed structure of Zr3Cr.

Cell lengths 4.8735, 4.8735, 4.8735 Å; angles 60.00, 60.00, 60.00 degrees
Sites, in units of the cell vectors:
Cr1 0.0000 0.0000 0.0000
Zr1 0.2500 0.2500 0.2500
Zr2 0.5000 0.5000 0.5000
Zr3 0.7500 0.7500 0.7500

**V**: 82 Å³/cell
**Energy relative to the elements**: 0.2425 eV/atom

***

# 8
DFT (GGA-PBE) results for a relaxed structure of ZrCr3.

Cell lengths 5.9166, 5.9166, 4.0132 Å; angles 90.00, 90.00, 120.00 degrees
Sites, in units of the cell vectors:
Zr1 0.6667 0.3333 0.7500
Zr2 0.3333 0.6667 0.2500
Cr1 0.8634 0.1366 0.2500
Cr2 0.8634 0.7267 0.2500
Cr3 0.7267 0.8634 0.7500
Cr4 0.1366 0.2733 0.7500
Cr5 0.1366 0.8634 0.7500
Cr6 0.2733 0.1366 0.2500

**V**: 122 Å³/cell
**Energy relative to the elements**: 0.3974 eV/atom

***

# 9
DFT (GGA-PBE) results for a relaxed structure of Zr2Cr.

Cell lengths 5.7223, 5.7223, 5.7223 Å; angles 60.00, 60.00, 60.00 degrees
Sites, in units of the cell vectors:
Zr1 0.1250 0.6250 0.6250
Zr2 0.6250 0.6250 0.1250
Zr3 0.6250 0.6250 0.6250
Zr4 0.6250 0.1250 0.6250
Cr1 0.0000 0.0000 0.0000
Cr2 0.2500 0.2500 0.2500

**V**: 132 Å³/cell
**Energy relative to the elements**: 0.7397 eV/atom

***

# 10
DFT (GGA-PBE) results for a relaxed structure of Zr3Cr.

Cell lengths 4.9138, 4.9138, 3.4019 Å; angles 90.00, 90.00, 90.03 degrees
Sites, in units of the cell vectors:
Zr1 0.0000 0.5000 0.5000
Zr2 0.5000 0.0000 0.5000
Zr3 0.5000 0.5000 0.0000
Cr1 0.0000 0.0000 0.0000

**V**: 82 Å³/cell
**Energy relative to the elements**: 0.2323 eV/atom

***

# 11
DFT (GGA-PBE) results for a relaxed structure of ZrCr4.

Cell lengths 4.8201, 4.8201, 4.8201 Å; angles 109.47, 109.47, 109.47 degrees
Sites, in units of the cell vectors:
Zr1 0.0000 0.0000 0.0000
Cr1 0.0000 0.5000 0.0000
Cr2 0.5000 0.5000 0.5000
Cr3 0.0000 0.0000 0.5000
Cr4 0.5000 0.0000 0.0000

**V**: 86 Å³/cell
**E above lowest polymorph**: 1.824 eV/atom
**Energy relative to the elements**: 2.0340 eV/atom

***

# 12
DFT (GGA-PBE) results for a relaxed structure of Zr8Cr.

Cell lengths 7.1226, 7.1226, 7.1226 Å; angles 95.43, 95.43, 144.18 degrees
Sites, in units of the cell vectors:
Zr1 0.6681 0.0000 0.6681
Zr2 0.3374 0.3374 0.6749
Zr3 0.0000 0.3319 0.3319
Zr4 0.6626 0.6626 0.3251
Zr5 0.3319 0.0000 0.3319
Zr6 0.3374 0.6626 0.0000
Zr7 0.6626 0.3374 0.0000
Zr8 0.0000 0.6681 0.6681
Cr1 0.0000 0.0000 0.0000

**V**: 201 Å³/cell
**Energy relative to the elements**: 0.1409 eV/atom